Material: RbNaCoF4
Method: DFT, PBE with a Hubbard U
State: relaxed

* total DFT energy (no corrections): -4.551 eV/atom
* crystal system: monoclinic
* calculated density: 3.26 g cm⁻³

Cell lengths 5.821, 5.992, 7.298 Å; angles 90.00, 102.74, 90.00 degrees
Space group P2_1/m (No. 11)
One atom of each set of equivalent atoms:
1 Rb 0.141 0.250 0.102 x2
2 Na 0.167 0.750 0.475 x2
3 Co 0.375 0.250 0.684 x2
4 F 0.146 0.018 0.706 x4
5 F 0.307 0.750 0.169 x2
6 F 0.436 0.250 0.435 x2